(1)
KSrTa2 | GGA-PBE | relaxed

The structure belongs to space group P4/mmm (No. 123); the cell edges are 4.447, 4.447 and 7.779 Å and the angles 90.00°, 90.00° and 90.00°. The asymmetric unit holds K at (0.000, 0.000, 0.000), Sr at (0.000, 0.000, 0.500) and Ta at (0.500, 0.500, 0.352).

The value obtained for the volume is 154 Å³/cell. The formation enthalpy at 0 K comes out at 1591 meV/atom. Its offset from the most stable computed form is 0.916 eV per atom.

(2)
KSrTa2 | GGA-PBE | relaxed

The structure belongs to space group R-3m (No. 166, hexagonal axes); the cell edges are 3.0658, 3.0658 and 37.5566 Å and the angles 90.00°, 90.00° and 120.00°. The asymmetric unit holds K at (0.0000, 0.0000, 0.0000), Sr at (0.0000, 0.0000, 0.5000) and Ta at (0.0000, 0.0000, 0.2459).

The value obtained for the volume is 306 Å³/cell. The formation enthalpy at 0 K comes out at 1265 meV/atom. Its offset from the most stable computed form is 0.591 eV per atom.

(3)
KSrTa2 | GGA-PBE | relaxed

The structure belongs to space group I4/mmm (No. 139); the cell edges are 4.118, 4.118 and 11.998 Å and the angles 90.00°, 90.00° and 90.00°. The asymmetric unit holds K at (0.000, 0.000, 0.000), Sr at (0.000, 0.000, 0.500) and Ta at (0.000, 0.500, 0.250).

The value obtained for the volume is 203 Å³/cell. The formation enthalpy at 0 K comes out at 1401 meV/atom. Its offset from the most stable computed form is 0.727 eV per atom.

(4)
KSr2Ta | GGA-PBE | relaxed

The structure belongs to space group Pmm2 (No. 25); the cell edges are 3.620, 5.414 and 8.819 Å and the angles 90.00°, 90.00° and 90.00°. The asymmetric unit holds K at (0.000, 0.000, 0.000), Sr at (0.000, 0.000, 0.585), Sr at (0.500, 0.500, 0.332) and Ta at (0.500, 0.500, 0.716).

The value obtained for the volume is 173 Å³/cell. The formation enthalpy at 0 K comes out at 1072 meV/atom. Its offset from the most stable computed form is 0.295 eV per atom.

(5)
KSr2Ta | GGA-PBE | relaxed

The structure belongs to space group F-43m (No. 216); the cell edges are 8.659, 8.659 and 8.659 Å and the angles 90.00°, 90.00° and 90.00°. The asymmetric unit holds K at (0.000, 0.000, 0.000), Sr at (0.000, 0.000, 0.500), Sr at (0.250, 0.250, 0.750) and Ta at (0.250, 0.250, 0.250).

The value obtained for the volume is 649 Å³/cell. The formation enthalpy at 0 K comes out at 1189 meV/atom. Its offset from the most stable computed form is 0.412 eV per atom.

(6)
KSr3Ta | GGA-PBE | relaxed

The structure belongs to space group Pm-3m (No. 221); the cell edges are 6.066, 6.066 and 6.066 Å and the angles 90.00°, 90.00° and 90.00°. The asymmetric unit holds K at (0.000, 0.000, 0.000), Sr at (0.000, 0.000, 0.500) and Ta at (0.500, 0.500, 0.500).

The value obtained for the volume is 223 Å³/cell. The formation enthalpy at 0 K comes out at 1733 meV/atom. Its offset from the most stable computed form is 0.856 eV per atom.

(7)
KSrTa2 | GGA-PBE | relaxed

The structure belongs to space group I-42d (No. 122); the cell edges are 4.088, 4.088 and 24.801 Å and the angles 90.00°, 90.00° and 90.00°. The asymmetric unit holds K at (0.000, 0.000, 0.000), Sr at (0.000, 0.000, 0.500) and Ta at (0.247, 0.250, 0.625).

The value obtained for the volume is 414 Å³/cell. The formation enthalpy at 0 K comes out at 1527 meV/atom. Its offset from the most stable computed form is 0.852 eV per atom.

(8)
KSr2Ta | GGA-PBE | relaxed

The structure belongs to space group Cm (No. 8); the cell edges are 15.701, 3.560 and 6.294 Å and the angles 90.00°, 113.56° and 90.00°. The asymmetric unit holds K at (0.000, 0.000, 0.000), Sr at (0.097, 0.500, 0.597), Sr at (0.292, 0.500, 0.291) and Ta at (0.285, 0.000, 0.785).

The value obtained for the volume is 322 Å³/cell. The formation enthalpy at 0 K comes out at 1033 meV/atom. Its offset from the most stable computed form is 0.257 eV per atom.

(9)
KSrTa2 | GGA-PBE | relaxed

The structure belongs to space group Fm-3m (No. 225); the cell edges are 7.662, 7.662 and 7.662 Å and the angles 90.00°, 90.00° and 90.00°. The asymmetric unit holds K at (0.000, 0.000, 0.000), Sr at (0.000, 0.000, 0.500) and Ta at (0.250, 0.250, 0.250).

The value obtained for the volume is 450 Å³/cell. The formation enthalpy at 0 K comes out at 2154 meV/atom. Its offset from the most stable computed form is 1.480 eV per atom.

(10)
K2SrTaTe4 | GGA-PBE | relaxed

The structure belongs to space group I-4 (No. 82); the cell edges are 8.689, 8.689 and 9.338 Å and the angles 90.00°, 90.00° and 90.00°. The asymmetric unit holds K at (0.000, 0.000, 0.000), K at (0.000, 0.500, 0.250), Sr at (0.000, 0.500, 0.750), Ta at (0.000, 0.000, 0.500) and Te at (0.177, 0.807, 0.651).

The energy relative to the elements, uncorrected is -71.2 kJ/mol of atoms. The value obtained for the volume is 705 Å³/cell.

(11)
KSrTc2 | GGA-PBE | relaxed

The structure belongs to space group Imm2 (No. 44); the cell edges are 3.760, 5.732 and 10.525 Å and the angles 90.00°, 90.00° and 90.00°. The asymmetric unit holds K at (0.000, 0.000, 0.000), Sr at (0.000, 0.500, 0.799), Tc at (0.000, 0.000, 0.594) and Tc at (0.000, 0.500, 0.219).

The value obtained for the volume is 227 Å³/cell. The formation enthalpy at 0 K comes out at 785 meV/atom. Its offset from the most stable computed form is 0.270 eV per atom.

(12)
KSr3Tc | GGA-PBE | relaxed

The structure belongs to space group Pm-3m (No. 221); the cell edges are 6.085, 6.085 and 6.085 Å and the angles 90.00°, 90.00° and 90.00°. The asymmetric unit holds K at (0.000, 0.000, 0.000), Sr at (0.000, 0.500, 0.500) and Tc at (0.500, 0.500, 0.500).

The value obtained for the volume is 225 Å³/cell. The formation enthalpy at 0 K comes out at 483 meV/atom. Its offset from the most stable computed form is 0.000 eV per atom.

The lowest volume belongs to which entry?
number 1

Copy entry 4 word for word.
KSr2Ta | GGA-PBE | relaxed

The structure belongs to space group Pmm2 (No. 25); the cell edges are 3.620, 5.414 and 8.819 Å and the angles 90.00°, 90.00° and 90.00°. The asymmetric unit holds K at (0.000, 0.000, 0.000), Sr at (0.000, 0.000, 0.585), Sr at (0.500, 0.500, 0.332) and Ta at (0.500, 0.500, 0.716).

The value obtained for the volume is 173 Å³/cell. The formation enthalpy at 0 K comes out at 1072 meV/atom. Its offset from the most stable computed form is 0.295 eV per atom.